(1)
# IrOs (PBE-GGA, relaxed)
data_IrOs
_chemical_formula_sum 'Ir2 Os2'
_cell_length_a 2.732
_cell_length_b 2.732
_cell_length_c 7.735
_cell_angle_alpha 90.00
_cell_angle_beta 90.00
_cell_angle_gamma 90.00
_symmetry_space_group_name_H-M 'P 4/n m m'
_symmetry_Int_Tables_number 129
loop_
_symmetry_equiv_pos_as_xyz
'x,y,z'
'-x,-y,-z'
'-y+1/2,x,z'
'y+1/2,-x,-z'
'-x+1/2,-y+1/2,z'
'x+1/2,y+1/2,-z'
'y,-x+1/2,z'
'-y,x+1/2,-z'
'x+1/2,-y,-z'
'-x+1/2,y,z'
'-y,-x,-z'
'y,x,z'
'-x,y+1/2,-z'
'x,-y+1/2,z'
'y+1/2,x+1/2,-z'
'-y+1/2,-x+1/2,z'
loop_
_atom_site_label
_atom_site_type_symbol
_atom_site_fract_x
_atom_site_fract_y
_atom_site_fract_z
Ir1 Ir 0.250 0.250 0.130
Os1 Os 0.250 0.250 0.625
# Energy: -40.0 eV per cell
# Formation energy from the elements: 43 meV/atom

(2)
# IrOs2 (PBE-GGA, relaxed)
data_IrOs2
_chemical_formula_sum 'Ir4 Os8'
_cell_length_a 4.772
_cell_length_b 4.360
_cell_length_c 8.279
_cell_angle_alpha 90.00
_cell_angle_beta 90.00
_cell_angle_gamma 90.00
_symmetry_space_group_name_H-M 'P n m a'
_symmetry_Int_Tables_number 62
loop_
_symmetry_equiv_pos_as_xyz
'x,y,z'
'-x,-y,-z'
'-x+1/2,-y,z+1/2'
'x+1/2,y,-z+1/2'
'x+1/2,-y+1/2,-z+1/2'
'-x+1/2,y+1/2,z+1/2'
'-x,y+1/2,-z'
'x,-y+1/2,z'
loop_
_atom_site_label
_atom_site_type_symbol
_atom_site_fract_x
_atom_site_fract_y
_atom_site_fract_z
Ir1 Ir 0.165 0.250 0.166
Os1 Os 0.167 0.250 0.502
Os2 Os 0.169 0.250 0.833
# Energy: -125.3 eV per cell
# Formation energy from the elements: 1 meV/atom

(3)
# IrOs5 (PBE-GGA, relaxed)
data_IrOs5
_chemical_formula_sum 'Ir2 Os10'
_cell_length_a 3.843
_cell_length_b 8.221
_cell_length_c 5.460
_cell_angle_alpha 90.00
_cell_angle_beta 90.07
_cell_angle_gamma 90.00
_symmetry_space_group_name_H-M 'P 1 21/m 1'
_symmetry_Int_Tables_number 11
loop_
_symmetry_equiv_pos_as_xyz
'x,y,z'
'-x,-y,-z'
'-x,y+1/2,-z'
'x,-y+1/2,z'
loop_
_atom_site_label
_atom_site_type_symbol
_atom_site_fract_x
_atom_site_fract_y
_atom_site_fract_z
Ir1 Ir 0.250 0.250 0.124
Os1 Os 0.250 0.250 0.628
Os2 Os 0.250 0.581 0.623
Os3 Os 0.250 0.586 0.128
# Energy: -128.7 eV per cell
# Formation energy from the elements: 113 meV/atom

(4)
# IrOs (PBE-GGA, relaxed)
data_IrOs
_chemical_formula_sum 'Ir1 Os1'
_cell_length_a 3.105
_cell_length_b 3.105
_cell_length_c 3.105
_cell_angle_alpha 90.00
_cell_angle_beta 90.00
_cell_angle_gamma 90.00
_symmetry_space_group_name_H-M 'P m -3 m'
_symmetry_Int_Tables_number 221
_symmetry_space_group_name_Hall '-P 4 2 3'
loop_
_atom_site_label
_atom_site_type_symbol
_atom_site_fract_x
_atom_site_fract_y
_atom_site_fract_z
Ir1 Ir 0.000 0.000 0.000
Os1 Os 0.500 0.500 0.500
# Energy: -18.5 eV per cell
# Formation energy from the elements: 797 meV/atom

(5)
# IrOs (PBE-GGA, relaxed)
data_IrOs
_chemical_formula_sum 'Ir4 Os4'
_cell_length_a 6.966
_cell_length_b 6.966
_cell_length_c 3.718
_cell_angle_alpha 90.00
_cell_angle_beta 90.00
_cell_angle_gamma 90.00
_symmetry_space_group_name_H-M 'P 42/m n m'
_symmetry_Int_Tables_number 136
_symmetry_space_group_name_Hall '-P 4n 2n'
loop_
_atom_site_label
_atom_site_type_symbol
_atom_site_fract_x
_atom_site_fract_y
_atom_site_fract_z
Ir1 Ir 0.196 0.196 0.000
Os1 Os 0.151 0.849 0.000
# Energy: -70.7 eV per cell
# Formation energy from the elements: 1204 meV/atom

(6)
# IrOs (PBE-GGA, relaxed)
data_IrOs
_chemical_formula_sum 'Ir2 Os2'
_cell_length_a 3.8999
_cell_length_b 3.8999
_cell_length_c 5.1942
_cell_angle_alpha 90.00
_cell_angle_beta 90.00
_cell_angle_gamma 120.00
_symmetry_space_group_name_H-M 'P 63/m m c'
_symmetry_Int_Tables_number 194
_symmetry_space_group_name_Hall '-P 6c 2c'
loop_
_atom_site_label
_atom_site_type_symbol
_atom_site_fract_x
_atom_site_fract_y
_atom_site_fract_z
Ir1 Ir 0.3333 0.6667 0.2500
Os1 Os 0.0000 0.0000 0.0000
# Energy: -36.7 eV per cell
# Formation energy from the elements: 881 meV/atom

(7)
# IrOs (PBE-GGA, relaxed)
data_IrOs
_chemical_formula_sum 'Ir8 Os8'
_cell_length_a 7.630
_cell_length_b 7.630
_cell_length_c 7.630
_cell_angle_alpha 90.00
_cell_angle_beta 90.00
_cell_angle_gamma 90.00
_symmetry_space_group_name_H-M 'I -4 3 m'
_symmetry_Int_Tables_number 217
_symmetry_space_group_name_Hall 'I -4 2 3'
loop_
_atom_site_label
_atom_site_type_symbol
_atom_site_fract_x
_atom_site_fract_y
_atom_site_fract_z
Ir1 Ir 0.159 0.159 0.841
Os1 Os 0.156 0.156 0.156
# Energy: -138.8 eV per cell
# Formation energy from the elements: 1368 meV/atom

(8)
# IrOs2 (PBE-GGA, relaxed)
data_IrOs2
_chemical_formula_sum 'Ir4 Os8'
_cell_length_a 2.728
_cell_length_b 2.728
_cell_length_c 24.148
_cell_angle_alpha 90.00
_cell_angle_beta 90.00
_cell_angle_gamma 90.00
_symmetry_space_group_name_H-M 'I 41/a m d'
_symmetry_Int_Tables_number 141
loop_
_symmetry_equiv_pos_as_xyz
'x,y,z'
'-x,-y,-z'
'-y+1/4,x+3/4,z+1/4'
'y+1/4,-x+3/4,-z+1/4'
'-x+1/2,-y,z+1/2'
'x+1/2,y,-z+1/2'
'y+1/4,-x+1/4,z+3/4'
'-y+1/4,x+1/4,-z+3/4'
'x,-y,-z'
'-x,y,z'
'-y+1/4,-x+1/4,-z+3/4'
'y+1/4,x+1/4,z+3/4'
'-x+1/2,y,-z+1/2'
'x+1/2,-y,z+1/2'
'y+1/4,x+3/4,-z+1/4'
'-y+1/4,-x+3/4,z+1/4'
'x+1/2,y+1/2,z+1/2'
'-x+1/2,-y+1/2,-z+1/2'
'-y+3/4,x+1/4,z+3/4'
'y+3/4,-x+1/4,-z+3/4'
'-x,-y+1/2,z'
'x,y+1/2,-z'
'y+3/4,-x+3/4,z+1/4'
'-y+3/4,x+3/4,-z+1/4'
'x+1/2,-y+1/2,-z+1/2'
'-x+1/2,y+1/2,z+1/2'
'-y+3/4,-x+3/4,-z+1/4'
'y+3/4,x+3/4,z+1/4'
'-x,y+1/2,-z'
'x,-y+1/2,z'
'y+3/4,x+1/4,-z+3/4'
'-y+3/4,-x+1/4,z+3/4'
loop_
_atom_site_label
_atom_site_type_symbol
_atom_site_fract_x
_atom_site_fract_y
_atom_site_fract_z
Ir1 Ir 0.000 0.250 0.375
Os1 Os 0.000 0.250 0.795
# Energy: -121.0 eV per cell
# Formation energy from the elements: 358 meV/atom

(9)
# Ir2Os (PBE-GGA, relaxed)
data_Ir2Os
_chemical_formula_sum 'Ir8 Os4'
_cell_length_a 5.976
_cell_length_b 5.976
_cell_length_c 5.252
_cell_angle_alpha 90.00
_cell_angle_beta 90.00
_cell_angle_gamma 90.00
_symmetry_space_group_name_H-M 'I 4/m c m'
_symmetry_Int_Tables_number 140
_symmetry_space_group_name_Hall '-I 4 2c'
loop_
_atom_site_label
_atom_site_type_symbol
_atom_site_fract_x
_atom_site_fract_y
_atom_site_fract_z
Ir1 Ir 0.144 0.356 0.000
Os1 Os 0.000 0.000 0.250
# Energy: -109.6 eV per cell
# Formation energy from the elements: 516 meV/atom

(10)
# IrOs2 (PBE-GGA, relaxed)
data_IrOs2
_chemical_formula_sum 'Ir4 Os8'
_cell_length_a 5.908
_cell_length_b 5.908
_cell_length_c 5.908
_cell_angle_alpha 90.00
_cell_angle_beta 90.00
_cell_angle_gamma 90.00
_symmetry_space_group_name_H-M 'F m -3 m'
_symmetry_Int_Tables_number 225
_symmetry_space_group_name_Hall '-F 4 2 3'
loop_
_atom_site_label
_atom_site_type_symbol
_atom_site_fract_x
_atom_site_fract_y
_atom_site_fract_z
Ir1 Ir 0.000 0.000 0.000
Os1 Os 0.250 0.250 0.250
# Energy: -113.7 eV per cell
# Formation energy from the elements: 968 meV/atom

(11)
# IrOs2 (PBE-GGA, relaxed)
data_IrOs2
_chemical_formula_sum 'Ir8 Os16'
_cell_length_a 3.866
_cell_length_b 3.866
_cell_length_c 23.085
_cell_angle_alpha 90.00
_cell_angle_beta 90.00
_cell_angle_gamma 90.00
_symmetry_space_group_name_H-M 'I 41/a m d'
_symmetry_Int_Tables_number 141
loop_
_symmetry_equiv_pos_as_xyz
'x,y,z'
'-x,-y,-z'
'-y+1/4,x+3/4,z+1/4'
'y+1/4,-x+3/4,-z+1/4'
'-x+1/2,-y,z+1/2'
'x+1/2,y,-z+1/2'
'y+1/4,-x+1/4,z+3/4'
'-y+1/4,x+1/4,-z+3/4'
'x,-y,-z'
'-x,y,z'
'-y+1/4,-x+1/4,-z+3/4'
'y+1/4,x+1/4,z+3/4'
'-x+1/2,y,-z+1/2'
'x+1/2,-y,z+1/2'
'y+1/4,x+3/4,-z+1/4'
'-y+1/4,-x+3/4,z+1/4'
'x+1/2,y+1/2,z+1/2'
'-x+1/2,-y+1/2,-z+1/2'
'-y+3/4,x+1/4,z+3/4'
'y+3/4,-x+1/4,-z+3/4'
'-x,-y+1/2,z'
'x,y+1/2,-z'
'y+3/4,-x+3/4,z+1/4'
'-y+3/4,x+3/4,-z+1/4'
'x+1/2,-y+1/2,-z+1/2'
'-x+1/2,y+1/2,z+1/2'
'-y+3/4,-x+3/4,-z+1/4'
'y+3/4,x+3/4,z+1/4'
'-x,y+1/2,-z'
'x,-y+1/2,z'
'y+3/4,x+1/4,-z+3/4'
'-y+3/4,-x+1/4,z+3/4'
loop_
_atom_site_label
_atom_site_type_symbol
_atom_site_fract_x
_atom_site_fract_y
_atom_site_fract_z
Ir1 Ir 0.000 0.250 0.293
Os1 Os 0.000 0.250 0.126
Os2 Os 0.000 0.250 0.792
# Energy: -248.8 eV per cell
# Formation energy from the elements: 72 meV/atom

(12)
# IrOs (PBE-GGA, relaxed)
data_IrOs
_chemical_formula_sum 'Ir8 Os8'
_cell_length_a 10.415
_cell_length_b 10.415
_cell_length_c 3.745
_cell_angle_alpha 90.00
_cell_angle_beta 90.00
_cell_angle_gamma 90.00
_symmetry_space_group_name_H-M 'I 4/m'
_symmetry_Int_Tables_number 87
_symmetry_space_group_name_Hall '-I 4'
loop_
_atom_site_label
_atom_site_type_symbol
_atom_site_fract_x
_atom_site_fract_y
_atom_site_fract_z
Ir1 Ir 0.113 0.277 0.000
Os1 Os 0.121 0.713 0.000
# Energy: -139.1 eV per cell
# Formation energy from the elements: 1351 meV/atom